# TeSBrN2 | Alexandria via LeMat-Bulk | PBE-GGA | relaxed
data_TeSBrN2
_chemical_formula_sum 'Te1 S1 Br1 N2'
_symmetry_space_group_name_H-M 'P 4/m m m'
_symmetry_Int_Tables_number 123
_symmetry_space_group_name_Hall '-P 4 2'
_cell_length_a 3.865
_cell_length_b 3.865
_cell_length_c 8.384
_cell_angle_alpha 90.00
_cell_angle_beta 90.00
_cell_angle_gamma 90.00
loop_
_atom_site_label
_atom_site_type_symbol
_atom_site_fract_x
_atom_site_fract_y
_atom_site_fract_z
Te1 Te 0.000 0.000 0.000
S1 S 0.500 0.500 0.000
Br1 Br 0.000 0.000 0.500
N1 N 0.000 0.500 0.500
# - Size of the total moment: 0.92 μB/cell
# - DOS at the Fermi energy: 4.203 states/eV/cell
# - Offset from the most stable computed form: 2.74 eV/f.u.
# - E_form (uncorrected): 2.014 eV per atom

# TeSBrN2 | Alexandria via LeMat-Bulk | PBE-GGA | relaxed
data_TeSBrN2
_chemical_formula_sum 'Te1 S1 Br1 N2'
_symmetry_space_group_name_H-M 'P 4/m m m'
_symmetry_Int_Tables_number 123
_symmetry_space_group_name_Hall '-P 4 2'
_cell_length_a 4.104
_cell_length_b 4.104
_cell_length_c 4.881
_cell_angle_alpha 90.00
_cell_angle_beta 90.00
_cell_angle_gamma 90.00
loop_
_atom_site_label
_atom_site_type_symbol
_atom_site_fract_x
_atom_site_fract_y
_atom_site_fract_z
Te1 Te 0.000 0.000 0.000
S1 S 0.500 0.500 0.000
Br1 Br 0.500 0.500 0.500
N1 N 0.000 0.500 0.500
# - Size of the total moment: 0.00 μB/cell
# - DOS at the Fermi energy: 3.188 states/eV/cell
# - Offset from the most stable computed form: 3.28 eV/f.u.
# - E_form (uncorrected): 2.122 eV per atom

# TeSBrN2 | Alexandria via LeMat-Bulk | PBE-GGA | relaxed
data_TeSBrN2
_chemical_formula_sum 'Te1 S1 Br1 N2'
_symmetry_space_group_name_H-M 'P 4/m m m'
_symmetry_Int_Tables_number 123
_symmetry_space_group_name_Hall '-P 4 2'
_cell_length_a 3.802
_cell_length_b 3.802
_cell_length_c 7.631
_cell_angle_alpha 90.00
_cell_angle_beta 90.00
_cell_angle_gamma 90.00
loop_
_atom_site_label
_atom_site_type_symbol
_atom_site_fract_x
_atom_site_fract_y
_atom_site_fract_z
Te1 Te 0.000 0.000 0.000
S1 S 0.000 0.000 0.500
Br1 Br 0.500 0.500 0.000
N1 N 0.000 0.500 0.500
# - Size of the total moment: 0.76 μB/cell
# - DOS at the Fermi energy: 4.360 states/eV/cell
# - Offset from the most stable computed form: 1.32 eV/f.u.
# - E_form (uncorrected): 1.730 eV per atom

# TiS2BrN | Alexandria via LeMat-Bulk | PBE-GGA | relaxed
data_TiS2BrN
_chemical_formula_sum 'Ti1 S2 Br1 N1'
_symmetry_space_group_name_H-M 'P 4/m m m'
_symmetry_Int_Tables_number 123
_symmetry_space_group_name_Hall '-P 4 2'
_cell_length_a 4.888
_cell_length_b 4.888
_cell_length_c 3.834
_cell_angle_alpha 90.00
_cell_angle_beta 90.00
_cell_angle_gamma 90.00
loop_
_atom_site_label
_atom_site_type_symbol
_atom_site_fract_x
_atom_site_fract_y
_atom_site_fract_z
Ti1 Ti 0.000 0.000 0.000
S1 S 0.000 0.500 0.000
Br1 Br 0.500 0.500 0.500
N1 N 0.000 0.000 0.500
# - Size of the total moment: 0.00 μB/cell
# - DOS at the Fermi energy: 5.973 states/eV/cell
# - Offset from the most stable computed form: 0.00 eV/f.u.
# - E_form (uncorrected): 0.238 eV per atom